Record 1
First-principles (GGA-PBE) data for a relaxed structure of BaSrSi2W, as listed in Alexandria.

a = 4.961 Å, b = 4.961 Å, c = 5.594 Å
α = 90.00°, β = 90.00°, γ = 90.00°
Atoms (fractional coordinates):
1 Ba 0.000 0.000 0.000
2 Sr 0.500 0.500 0.000
3 Si 0.000 0.500 0.500
4 Si 0.500 0.000 0.500
5 W 0.000 0.000 0.500

Space group   No. 123
Theoretical density   5.6 g cm⁻³
ΔE_f (raw)   2.1 eV/f.u.


Record 2
First-principles (GGA-PBE) data for a relaxed structure of BaSrZn2Si2, as listed in Alexandria.

a = 4.341 Å, b = 4.341 Å, c = 9.450 Å
α = 90.00°, β = 90.00°, γ = 120.00°
Atoms (fractional coordinates):
1 Ba 0.000 0.000 0.000
2 Sr 0.000 0.000 0.500
3 Zn 0.333 0.667 0.737
4 Zn 0.667 0.333 0.263
5 Si 0.333 0.667 0.262
6 Si 0.667 0.333 0.738

Space group   No. 164
Theoretical density   4.4 g cm⁻³
ΔE_f (raw)   -2.4 eV/f.u.


Record 3
First-principles (GGA-PBE) data for a relaxed structure of BaSrZr2Si, as listed in Alexandria.

a = 5.316 Å, b = 5.316 Å, c = 5.851 Å
α = 90.00°, β = 90.00°, γ = 90.00°
Atoms (fractional coordinates):
1 Ba 0.000 0.000 0.000
2 Sr 0.000 0.000 0.500
3 Zr 0.000 0.500 0.500
4 Zr 0.500 0.000 0.500
5 Si 0.500 0.500 0.000

Space group   No. 123
Theoretical density   4.4 g cm⁻³
ΔE_f (raw)   8.9 eV/f.u.


Record 4
First-principles (GGA-PBE) data for a relaxed structure of Ba2TaSi, as listed in Alexandria.

a = 5.500 Å, b = 5.500 Å, c = 5.500 Å
α = 60.00°, β = 60.00°, γ = 60.00°
Atoms (fractional coordinates):
1 Ba 0.000 0.000 0.000
2 Ba 0.250 0.250 0.250
3 Ta 0.750 0.750 0.750
4 Si 0.500 0.500 0.500

Space group   No. 216
Theoretical density   6.8 g cm⁻³
ΔE_f (raw)   3.6 eV/f.u.


Record 5
First-principles (GGA-PBE) data for a relaxed structure of BaTa2Si, as listed in Alexandria.

a = 4.720 Å, b = 4.720 Å, c = 7.055 Å
α = 98.78°, β = 98.78°, γ = 41.06°
Atoms (fractional coordinates):
1 Ba 0.000 0.000 0.000
2 Ta 0.539 0.539 0.537
3 Ta 0.803 0.803 0.372
4 Si 0.264 0.264 0.653

Space group   No. 8
Theoretical density   8.6 g cm⁻³
ΔE_f (raw)   1.4 eV/f.u.


Record 6
First-principles (GGA-PBE) data for a relaxed structure of BaTa2Si, as listed in Alexandria.

a = 10.061 Å, b = 10.061 Å, c = 10.061 Å
α = 151.94°, β = 151.94°, γ = 40.11°
Atoms (fractional coordinates):
1 Ba 0.000 0.000 0.000
2 Ba 0.750 0.250 0.500
3 Ta 0.302 0.125 0.677
4 Ta 0.375 0.698 0.823
5 Ta 0.448 0.625 0.323
6 Ta 0.875 0.552 0.177
7 Si 0.250 0.750 0.500
8 Si 0.500 0.500 0.000

Space group   No. 122
Theoretical density   7.8 g cm⁻³
ΔE_f (raw)   3.2 eV/f.u.


Record 7
First-principles (GGA-PBE) data for a relaxed structure of BaTa2Si, as listed in Alexandria.

a = 5.757 Å, b = 5.757 Å, c = 2.893 Å
α = 90.00°, β = 90.00°, γ = 114.81°
Atoms (fractional coordinates):
1 Ba 0.000 0.000 0.000
2 Ta 0.000 0.500 0.500
3 Ta 0.500 0.000 0.500
4 Si 0.500 0.500 0.000

Space group   No. 65
Theoretical density   10.1 g cm⁻³
ΔE_f (raw)   4.8 eV/f.u.


Record 8
First-principles (GGA-PBE) data for a relaxed structure of BaTa2Si, as listed in Alexandria.

a = 3.485 Å, b = 4.476 Å, c = 6.778 Å
α = 90.00°, β = 102.04°, γ = 90.00°
Atoms (fractional coordinates):
1 Ba 0.000 0.000 0.000
2 Ta 0.315 0.500 0.646
3 Ta 0.685 0.500 0.354
4 Si 0.500 0.000 0.500

Space group   No. 10
Theoretical density   8.5 g cm⁻³
ΔE_f (raw)   2.2 eV/f.u.


Record 9
First-principles (GGA-PBE) data for a relaxed structure of Ba2TaSi, as listed in Alexandria.

a = 3.654 Å, b = 3.654 Å, c = 9.740 Å
α = 90.00°, β = 90.00°, γ = 90.00°
Atoms (fractional coordinates):
1 Ba 0.000 0.000 0.000
2 Ba 0.500 0.500 0.413
3 Ta 0.500 0.500 0.732
4 Si 0.000 0.000 0.673

Space group   No. 99
Theoretical density   6.2 g cm⁻³
ΔE_f (raw)   0.7 eV/f.u.


Record 10
First-principles (GGA-PBE) data for a relaxed structure of Ba2TaSi, as listed in Alexandria.

a = 4.671 Å, b = 4.671 Å, c = 5.145 Å
α = 90.00°, β = 90.00°, γ = 90.00°
Atoms (fractional coordinates):
1 Ba 0.000 0.500 0.000
2 Ba 0.500 0.000 0.000
3 Ta 0.000 0.000 0.500
4 Si 0.500 0.500 0.500

Space group   No. 123
Theoretical density   7.2 g cm⁻³
ΔE_f (raw)   3.4 eV/f.u.


Record 11
First-principles (GGA-PBE) data for a relaxed structure of Ba2TaSi, as listed in Alexandria.

a = 5.876 Å, b = 5.876 Å, c = 5.876 Å
α = 130.92°, β = 130.92°, γ = 71.95°
Atoms (fractional coordinates):
1 Ba 0.000 0.000 0.000
2 Ba 0.750 0.250 0.500
3 Ta 0.500 0.500 0.000
4 Si 0.250 0.750 0.500

Space group   No. 119
Theoretical density   7.1 g cm⁻³
ΔE_f (raw)   3.5 eV/f.u.


Record 12
First-principles (GGA-PBE) data for a relaxed structure of Ba2TaSi, as listed in Alexandria.

a = 8.926 Å, b = 8.926 Å, c = 8.926 Å
α = 94.48°, β = 94.48°, γ = 147.55°
Atoms (fractional coordinates):
1 Ba 0.375 0.208 0.333
2 Ba 0.792 0.125 0.167
3 Ba 0.875 0.042 0.667
4 Ba 0.958 0.625 0.833
5 Ta 0.250 0.750 0.500
6 Ta 0.500 0.500 0.000
7 Si 0.000 0.000 0.000
8 Si 0.750 0.250 0.500

Space group   No. 122
Theoretical density   4.4 g cm⁻³
ΔE_f (raw)   2.6 eV/f.u.